# 1
# KGa3Os

A geometry-optimized KGa3Os structure (PBE-GGA, Alexandria via LeMat-Bulk).

The structure in extended XYZ format:
```
10
Lattice="4.961 0.000 0.000 2.054 6.172 0.000 1.140 2.812 8.409" Properties=species:S:1:pos:R:3 pbc="T T T"
K 0.000 0.000 0.000
K 3.231 7.149 3.618
Ga 2.421 5.907 6.774
Ga 2.561 2.625 0.793
Ga 3.748 3.558 3.048
Ga 5.400 8.021 6.063
Ga 4.992 3.540 0.778
Ga 6.128 4.164 5.194
Os 3.646 4.108 5.372
Os 4.904 5.821 6.944
```

## Properties
Total moment   0.00 μB per cell
DOS at the Fermi energy   4.07 states/eV per cell

---

# 2
# KGa3Os

A geometry-optimized KGa3Os structure (PBE-GGA, Alexandria via LeMat-Bulk).

The structure in extended XYZ format:
```
10
Lattice="3.464 -6.207 0.000 3.464 6.207 0.000 0.000 0.000 4.942" Properties=species:S:1:pos:R:3 pbc="T T T"
K 3.464 5.453 3.707
K 3.464 -5.453 1.236
Ga 2.249 2.940 1.236
Ga 4.679 2.940 1.236
Ga 3.464 0.000 0.000
Ga 3.464 0.000 2.471
Ga 2.249 -2.940 3.707
Ga 4.679 -2.940 3.707
Os 3.464 2.152 3.707
Os 3.464 -2.152 1.236
```

## Properties
Total moment   0.00 μB per cell
DOS at the Fermi energy   0.82 states/eV per cell

---

What calculated formation energy values result from the calculations? In sequence: -12.0; 103.4 meV per atom.
What energy relative to the lowest polymorph listed for this composition values result from the calculations? In sequence: 227; 342 meV/atom.